(1)
## Sm2Zn3Cu (PBE-GGA)

Data for Sm2Zn3Cu after structural relaxation.

Values from the calculation:
crystal system	orthorhombic
formation energy	-0.319	eV per atom
N(E_F)	5.199	states/eV per cell
calculated density	7.45	g cm⁻³
DFT total energy	-19.268	eV per cell

a = 3.594 Å, b = 4.469 Å, c = 7.781 Å
α = 90.00°, β = 90.00°, γ = 90.00°
Positions (direct):
Sm1 0.000 0.000 0.493
Zn1 0.500 0.000 0.166
Sm2 0.000 0.500 0.009
Zn2 0.500 0.500 0.666
Zn3 0.500 0.000 0.831
Cu1 0.500 0.500 0.335

(2)
## SmZn4Cu (PBE-GGA)

Data for SmZn4Cu after structural relaxation.

Values from the calculation:
crystal system	orthorhombic
formation energy	-0.230	eV per atom
N(E_F)	7.311	states/eV per cell
calculated density	7.42	g cm⁻³
DFT total energy	-30.578	eV per cell

a = 4.092 Å, b = 6.744 Å, c = 7.984 Å
α = 90.00°, β = 104.85°, γ = 90.00°
Positions (direct):
Zn1 0.678 0.940 0.357
Sm1 0.122 0.250 0.244
Cu1 0.234 0.750 0.468
Zn2 0.322 0.440 0.643
Zn3 0.075 0.750 0.149
Sm2 0.878 0.750 0.756
Zn4 0.322 0.060 0.643
Zn5 0.678 0.560 0.357
Cu2 0.766 0.250 0.532
Zn6 0.500 0.000 0.000
Zn7 0.925 0.250 0.851
Zn8 0.500 0.500 0.000

(3)
## SmZn2Cu2 (PBE-GGA)

Data for SmZn2Cu2 after structural relaxation.

Values from the calculation:
crystal system	tetragonal
formation energy	-0.240	eV per atom
N(E_F)	3.174	states/eV per cell
calculated density	7.67	g cm⁻³
DFT total energy	-16.661	eV per cell

a = 3.994 Å, b = 3.994 Å, c = 6.223 Å
α = 71.23°, β = 71.23°, γ = 89.99°
Positions (direct):
Zn1 0.750 0.250 0.500
Sm1 0.000 0.000 0.000
Zn2 0.250 0.750 0.500
Cu1 0.391 0.391 0.220
Cu2 0.609 0.609 0.780

(4)
## Sm2Zn3Cu2 (PBE-GGA)

Data for Sm2Zn3Cu2 after structural relaxation.

Values from the calculation:
crystal system	monoclinic
formation energy	-0.296	eV per atom
N(E_F)	4.434	states/eV per cell
calculated density	7.82	g cm⁻³
DFT total energy	-23.523	eV per cell

a = 4.263 Å, b = 5.423 Å, c = 6.860 Å
α = 112.65°, β = 90.00°, γ = 113.15°
Positions (direct):
Cu1 0.138 0.276 0.211
Cu2 0.862 0.724 0.789
Zn1 0.500 0.000 0.000
Zn2 0.623 0.245 0.430
Sm1 0.854 0.708 0.228
Sm2 0.146 0.292 0.772
Zn3 0.377 0.755 0.570

(5)
## SmZn8Cu2 (PBE-GGA)

Data for SmZn8Cu2 after structural relaxation.

Values from the calculation:
crystal system	tetragonal
formation energy	0.206	eV per atom
N(E_F)	5.296	states/eV per cell
calculated density	5.75	g cm⁻³
DFT total energy	-20.836	eV per cell

a = 5.218 Å, b = 5.218 Å, c = 8.488 Å
α = 90.00°, β = 90.00°, γ = 90.00°
Positions (direct):
Zn1 0.752 0.248 0.207
Zn2 0.752 0.752 0.207
Zn3 0.752 0.248 0.793
Zn4 0.248 0.248 0.207
Zn5 0.752 0.752 0.793
Cu1 0.500 0.000 0.000
Zn6 0.248 0.752 0.793
Zn7 0.248 0.752 0.207
Sm1 0.500 0.500 0.500
Zn8 0.248 0.248 0.793
Cu2 0.000 0.500 0.000

(6)
## SmZn3Cu (PBE-GGA)

Data for SmZn3Cu after structural relaxation.

Values from the calculation:
crystal system	orthorhombic
formation energy	-0.274	eV per atom
N(E_F)	5.230	states/eV per cell
calculated density	7.44	g cm⁻³
DFT total energy	-28.013	eV per cell

a = 5.824 Å, b = 6.169 Å, c = 5.758 Å
α = 117.82°, β = 90.00°, γ = 90.00°
Positions (direct):
Zn1 0.250 0.268 0.134
Zn2 0.500 0.000 0.734
Zn3 0.000 0.000 0.734
Zn4 0.500 0.000 0.266
Zn5 0.750 0.732 0.866
Cu1 0.750 0.286 0.643
Zn6 0.000 0.000 0.266
Sm1 0.250 0.511 0.756
Sm2 0.750 0.489 0.244
Cu2 0.250 0.714 0.357

(7)
## SmZn6Cu12 (PBE-GGA)

Data for SmZn6Cu12 after structural relaxation.

Values from the calculation:
crystal system	trigonal
formation energy	0.033	eV per atom
N(E_F)	6.058	states/eV per cell
calculated density	7.70	g cm⁻³
DFT total energy	-60.895	eV per cell

a = 6.770 Å, b = 6.770 Å, c = 6.770 Å
α = 103.12°, β = 103.12°, γ = 103.12°
Positions (direct):
Cu1 0.374 0.374 0.116
Zn1 0.303 0.715 0.715
Cu2 0.626 0.884 0.626
Zn2 0.285 0.285 0.697
Cu3 0.626 0.626 0.884
Zn3 0.715 0.303 0.715
Cu4 0.890 0.500 0.110
Sm1 0.000 0.000 0.000
Cu5 0.890 0.110 0.500
Cu6 0.116 0.374 0.374
Cu7 0.374 0.116 0.374
Zn4 0.715 0.715 0.303
Zn5 0.697 0.285 0.285
Zn6 0.285 0.697 0.285
Cu8 0.500 0.890 0.110
Cu9 0.884 0.626 0.626
Cu10 0.110 0.500 0.890
Cu11 0.110 0.890 0.500
Cu12 0.500 0.110 0.890

(8)
## SmZn9Cu2 (PBE-GGA)

Data for SmZn9Cu2 after structural relaxation.

Values from the calculation:
crystal system	tetragonal
formation energy	-0.243	eV per atom
N(E_F)	4.862	states/eV per cell
calculated density	7.73	g cm⁻³
DFT total energy	-54.589	eV per cell

a = 6.720 Å, b = 8.166 Å, c = 8.166 Å
α = 80.25°, β = 65.70°, γ = 65.70°
Positions (direct):
Cu1 0.875 0.250 0.750
Sm1 0.500 0.000 0.000
Zn1 0.147 0.174 0.417
Zn2 0.071 0.917 0.326
Zn3 0.011 0.917 0.674
Zn4 0.750 0.500 0.500
Zn5 0.679 0.583 0.174
Zn6 0.314 0.083 0.674
Zn7 0.147 0.417 0.174
Cu2 0.875 0.250 0.250
Zn8 0.436 0.417 0.826
Zn9 0.000 0.000 0.000
Cu3 0.875 0.750 0.250
Sm2 0.250 0.500 0.500
Zn10 0.436 0.826 0.417
Zn11 0.739 0.583 0.826
Zn12 0.314 0.674 0.083
Zn13 0.011 0.674 0.917
Cu4 0.375 0.750 0.750
Zn14 0.679 0.174 0.583
Zn15 0.603 0.326 0.083
Zn16 0.739 0.826 0.583
Zn17 0.603 0.083 0.326
Zn18 0.071 0.326 0.917

(9)
## Sm2Zn5Cu4 (PBE-GGA)

Data for Sm2Zn5Cu4 after structural relaxation.

Values from the calculation:
crystal system	orthorhombic
formation energy	-0.257	eV per atom
N(E_F)	4.666	states/eV per cell
calculated density	7.70	g cm⁻³
DFT total energy	-35.023	eV per cell

a = 5.310 Å, b = 5.169 Å, c = 8.501 Å
α = 80.77°, β = 71.80°, γ = 59.09°
Positions (direct):
Zn1 0.000 0.500 0.000
Zn2 0.500 0.500 0.000
Sm1 0.868 0.000 0.263
Zn3 0.500 0.000 0.000
Sm2 0.132 0.000 0.737
Cu1 0.785 0.690 0.740
Zn4 0.750 0.500 0.500
Cu2 0.215 0.310 0.260
Cu3 0.525 0.690 0.260
Cu4 0.475 0.310 0.740
Zn5 0.250 0.500 0.500

(10)
## Sm3ZnCu3 (PBE-GGA)

Data for Sm3ZnCu3 after structural relaxation.

Values from the calculation:
crystal system	monoclinic
formation energy	-0.225	eV per atom
N(E_F)	11.423	states/eV per cell
calculated density	7.71	g cm⁻³
DFT total energy	-58.587	eV per cell

a = 4.259 Å, b = 5.588 Å, c = 14.003 Å
α = 85.21°, β = 81.25°, γ = 67.60°
Positions (direct):
Sm1 0.608 0.706 0.078
Sm2 0.540 0.310 0.610
Sm3 0.460 0.690 0.390
Sm4 0.392 0.294 0.922
Sm5 0.748 0.736 0.768
Cu1 0.900 0.122 0.078
Zn1 0.754 0.097 0.396
Zn2 0.246 0.903 0.604
Cu2 0.041 0.153 0.766
Sm6 0.252 0.264 0.232
Cu3 0.959 0.847 0.234
Cu4 0.100 0.878 0.922
Cu5 0.870 0.716 0.544
Cu6 0.130 0.284 0.456

(11)
## SmZn3Cu (PBE-GGA)

Data for SmZn3Cu after structural relaxation.

Values from the calculation:
crystal system	hexagonal
formation energy	-0.247	eV per atom
N(E_F)	2.823	states/eV per cell
calculated density	7.53	g cm⁻³
DFT total energy	-27.743	eV per cell

a = 5.275 Å, b = 6.294 Å, c = 6.294 Å
α = 120.00°, β = 90.00°, γ = 90.00°
Positions (direct):
Sm1 0.250 0.333 0.667
Zn1 0.750 0.192 0.809
Zn2 0.250 0.383 0.191
Sm2 0.750 0.667 0.333
Zn3 0.250 0.808 0.191
Zn4 0.750 0.617 0.809
Cu1 0.000 0.000 0.000
Zn5 0.750 0.191 0.383
Zn6 0.250 0.809 0.617
Cu2 0.500 0.000 0.000

(12)
## Sm3Zn2Cu (PBE-GGA)

Data for Sm3Zn2Cu after structural relaxation.

Values from the calculation:
crystal system	trigonal
formation energy	-0.268	eV per atom
N(E_F)	5.734	states/eV per cell
calculated density	7.59	g cm⁻³
DFT total energy	-22.409	eV per cell

a = 5.096 Å, b = 5.096 Å, c = 6.278 Å
α = 90.00°, β = 90.00°, γ = 120.00°
Positions (direct):
Zn1 0.667 0.333 0.345
Sm1 0.667 0.333 0.843
Sm2 0.333 0.667 0.157
Cu1 0.000 0.000 0.000
Sm3 0.000 0.000 0.500
Zn2 0.333 0.667 0.655

(13)
## Sm3Zn2Cu (PBE-GGA)

Data for Sm3Zn2Cu after structural relaxation.

Values from the calculation:
crystal system	tetragonal
formation energy	-0.270	eV per atom
N(E_F)	5.882	states/eV per cell
calculated density	7.59	g cm⁻³
DFT total energy	-22.424	eV per cell

a = 3.615 Å, b = 3.615 Å, c = 10.810 Å
α = 90.00°, β = 90.00°, γ = 90.00°
Positions (direct):
Cu1 0.500 0.500 0.500
Sm1 0.000 0.000 0.337
Zn1 0.500 0.500 0.166
Sm2 0.000 0.000 0.663
Sm3 0.000 0.000 0.000
Zn2 0.500 0.500 0.834

(14)
## Sm2ZnCu6 (PBE-GGA)

Data for Sm2ZnCu6 after structural relaxation.

Values from the calculation:
crystal system	monoclinic
formation energy	-0.171	eV per atom
N(E_F)	4.319	states/eV per cell
calculated density	8.23	g cm⁻³
DFT total energy	-36.831	eV per cell

a = 5.660 Å, b = 5.546 Å, c = 5.546 Å
α = 59.98°, β = 90.04°, γ = 90.04°
Positions (direct):
Sm1 0.156 0.333 0.333
Cu1 0.659 0.179 0.641
Cu2 0.339 0.821 0.821
Sm2 0.844 0.667 0.667
Cu3 0.341 0.821 0.359
Cu4 0.341 0.359 0.821
Zn1 0.000 0.000 0.000
Cu5 0.659 0.641 0.179
Cu6 0.661 0.179 0.179

(15)
## Sm2Zn3Cu (PBE-GGA)

Data for Sm2Zn3Cu after structural relaxation.

Values from the calculation:
crystal system	orthorhombic
formation energy	-0.317	eV per atom
N(E_F)	9.001	states/eV per cell
calculated density	7.50	g cm⁻³
DFT total energy	-38.517	eV per cell

a = 5.717 Å, b = 5.717 Å, c = 8.580 Å
α = 104.60°, β = 104.60°, γ = 104.08°
Positions (direct):
Sm1 0.255 0.255 0.000
Sm2 0.745 0.745 0.000
Zn1 0.664 0.167 0.832
Cu1 0.333 0.333 0.666
Zn2 0.832 0.832 0.665
Zn3 0.336 0.833 0.168
Sm3 0.750 0.250 0.500
Sm4 0.250 0.750 0.500
Zn4 0.168 0.168 0.335
Cu2 0.667 0.667 0.334
Zn5 0.833 0.336 0.168
Zn6 0.167 0.664 0.832

(16)
## SmZnCu11 (PBE-GGA)

Data for SmZnCu11 after structural relaxation.

Values from the calculation:
crystal system	monoclinic
formation energy	-0.090	eV per atom
N(E_F)	5.030	states/eV per cell
calculated density	8.53	g cm⁻³
DFT total energy	-52.224	eV per cell

a = 4.868 Å, b = 6.545 Å, c = 6.485 Å
α = 82.08°, β = 67.96°, γ = 68.45°
Positions (direct):
Cu1 0.499 0.776 0.226
Cu2 0.500 0.000 0.500
Cu3 0.010 0.353 0.641
Cu4 0.000 0.500 0.000
Cu5 0.501 0.224 0.774
Sm1 0.000 0.000 0.000
Cu6 0.349 0.647 0.641
Zn1 0.500 0.500 0.000
Cu7 0.725 0.776 0.774
Cu8 0.275 0.224 0.226
Cu9 0.651 0.353 0.359
Cu10 0.000 0.000 0.500
Cu11 0.990 0.647 0.359

(17)
## Sm2Zn3Cu5 (PBE-GGA)

Data for Sm2Zn3Cu5 after structural relaxation.

Values from the calculation:
crystal system	orthorhombic
formation energy	-0.202	eV per atom
N(E_F)	10.751	states/eV per cell
calculated density	7.84	g cm⁻³
DFT total energy	-71.525	eV per cell

a = 5.456 Å, b = 8.485 Å, c = 8.485 Å
α = 73.69°, β = 71.25°, γ = 71.25°
Positions (direct):
Zn1 0.148 0.259 0.446
Cu1 0.546 0.204 0.204
Cu2 0.605 0.727 0.064
Cu3 0.046 0.204 0.204
Zn2 0.250 0.000 0.000
Cu4 0.750 0.500 0.500
Sm1 0.635 0.139 0.591
Zn3 0.648 0.446 0.259
Cu5 0.395 0.273 0.936
Cu6 0.454 0.796 0.796
Sm2 0.135 0.591 0.139
Sm3 0.365 0.861 0.409
Zn4 0.352 0.554 0.741
Cu7 0.895 0.936 0.273
Cu8 0.250 0.500 0.500
Zn5 0.852 0.741 0.554
Zn6 0.750 0.000 0.000
Cu9 0.954 0.796 0.796
Sm4 0.865 0.409 0.861
Cu10 0.105 0.064 0.727

(18)
## Sm2ZnCu3 (PBE-GGA)

Data for Sm2ZnCu3 after structural relaxation.

Values from the calculation:
crystal system	orthorhombic
formation energy	-0.253	eV per atom
N(E_F)	7.098	states/eV per cell
calculated density	7.77	g cm⁻³
DFT total energy	-49.038	eV per cell

a = 5.695 Å, b = 5.695 Å, c = 8.303 Å
α = 106.33°, β = 106.33°, γ = 100.40°
Positions (direct):
Sm1 0.250 0.750 0.500
Cu1 0.333 0.834 0.167
Sm2 0.755 0.755 0.000
Zn1 0.333 0.333 0.667
Cu2 0.165 0.165 0.331
Cu3 0.834 0.333 0.167
Sm3 0.750 0.250 0.500
Zn2 0.667 0.667 0.333
Sm4 0.245 0.245 0.000
Cu4 0.667 0.166 0.833
Cu5 0.166 0.667 0.833
Cu6 0.835 0.835 0.669

(19)
## Sm4ZnCu2 (PBE-GGA)

Data for Sm4ZnCu2 after structural relaxation.

Values from the calculation:
crystal system	trigonal
formation energy	-0.099	eV per atom
N(E_F)	9.343	states/eV per cell
calculated density	7.42	g cm⁻³
DFT total energy	-29.037	eV per cell

a = 5.026 Å, b = 5.026 Å, c = 8.624 Å
α = 73.06°, β = 73.06°, γ = 60.00°
Positions (direct):
Sm1 0.379 0.379 0.863
Zn1 0.000 0.000 0.000
Sm2 0.621 0.621 0.137
Sm3 0.872 0.872 0.383
Cu1 0.254 0.254 0.239
Sm4 0.128 0.128 0.617
Cu2 0.746 0.746 0.761

(20)
## Sm3Zn8Cu3 (PBE-GGA)

Data for Sm3Zn8Cu3 after structural relaxation.

Values from the calculation:
crystal system	orthorhombic
formation energy	-0.283	eV per atom
N(E_F)	7.825	states/eV per cell
calculated density	7.70	g cm⁻³
DFT total energy	-40.603	eV per cell

a = 4.410 Å, b = 8.132 Å, c = 8.132 Å
α = 65.56°, β = 74.27°, γ = 74.27°
Positions (direct):
Zn1 0.372 0.338 0.918
Zn2 0.841 0.515 0.803
Zn3 0.159 0.485 0.197
Zn4 0.159 0.197 0.485
Zn5 0.628 0.662 0.082
Zn6 0.841 0.803 0.515
Sm1 0.202 0.798 0.798
Sm2 0.500 0.500 0.500
Cu1 0.000 0.181 0.819
Cu2 0.000 0.819 0.181
Sm3 0.798 0.202 0.202
Zn7 0.628 0.082 0.662
Zn8 0.372 0.918 0.338
Cu3 0.500 0.000 0.000